# YPtBr3

A relaxed structure of YPtBr3 (PBE-GGA, the Alexandria database).

abc: 5.181 5.181 5.181
angles: 90.00 90.00 90.00
Element x y z (fractional)
Y 0.000 0.000 0.000
Pt 0.500 0.500 0.500
Br 0.000 0.500 0.500
Br 0.500 0.000 0.500
Br 0.500 0.500 0.000

Properties
energy	-3.704	eV/atom
Fermi-level density of states	5.96	states/eV/cell
SG	Pm-3m
total moment	1.0	μB/f.u.